A relaxed Ti6TcNi5 crystal. Source: Alexandria via LeMat-Bulk, functional PBE-GGA.

N(E_F), states/eV/atom: 1.405
Energy of formation from the pure elements, meV per atom: -389

a b c (Å): 7.417 7.417 7.417
angles (deg): 146.32 132.03 59.88
Element x y z (fractional)
Ti 0.081 0.332 0.749
Ti 0.247 0.000 0.247
Ti 0.416 0.668 0.749
Ti 0.584 0.332 0.251
Ti 0.753 0.000 0.753
Ti 0.919 0.668 0.251
Tc 0.500 0.500 0.000
Ni 0.000 0.500 0.500
Ni 0.171 0.171 0.000
Ni 0.335 0.835 0.500
Ni 0.665 0.165 0.500
Ni 0.829 0.829 0.000